VASP calculation (PBE-GGA) on CrMo2Ir9 after structural relaxation.

Output
Calculated formation energy, eV/atom: -0.15

Geometry as POSCAR:
```
CrMo2Ir9
1.0
-3.107 -3.478 0.892
2.495 -5.014 -2.499
4.417 -2.895 4.133
Cr Mo Ir
1 2 9
Direct
0.000 0.000 0.000
0.088 0.236 0.590
0.912 0.764 0.410
0.415 0.243 0.917
0.585 0.757 0.083
0.500 0.500 0.500
0.836 0.495 0.831
0.671 0.003 0.670
0.248 0.748 0.749
0.164 0.505 0.169
0.752 0.252 0.251
0.329 0.997 0.330
```

VASP calculation (PBE-GGA) on CrMo3Ir after structural relaxation.

Output
Calculated formation energy, eV/atom: 1.19

Geometry as POSCAR:
```
CrMo3Ir
1.0
-2.206 1.490 3.497
3.430 -0.961 2.573
1.637 4.021 -0.681
Cr Mo Ir
1 3 1
Direct
0.000 0.000 0.000
0.000 0.500 0.000
0.000 0.000 0.500
0.500 0.000 0.000
0.500 0.500 0.500
```

VASP calculation (PBE-GGA) on Cr2MoIr after structural relaxation.

Output
Calculated formation energy, eV/atom: 0.09

Geometry as POSCAR:
```
Cr2MoIr
1.0
-0.812 -2.824 -2.853
2.526 0.015 -0.734
1.925 -3.663 3.077
Cr Ir Mo
2 1 1
Direct
0.000 0.920 0.006
0.000 0.580 0.494
0.500 0.250 0.250
0.500 0.750 0.750
```

VASP calculation (PBE-GGA) on Cr2MoIr after structural relaxation.

Output
Calculated formation energy, eV/atom: 0.19

Geometry as POSCAR:
```
Cr2MoIr
1.0
-8.239 0.048 -1.995
-7.517 -2.369 -3.122
-8.166 -2.234 -0.440
Cr Ir Mo
2 1 1
Direct
0.991 0.991 0.991
0.257 0.257 0.257
0.505 0.505 0.505
0.748 0.748 0.748
```

V in Å³/cell, matching the order above: 174.41; 84.87; 54.56; 55.06